No. 1
A geometry-optimized AlCdTe2 structure. Source: the Alexandria database, functional PBE-GGA.

Cell: 8.602 8.602 8.602 Å, 27.03 27.03 27.03°
Fractional coordinates of all 4 atoms:
Te 0.226 0.226 0.226
Cd 0.754 0.754 0.754
Al 0.502 0.502 0.502
Te 0.018 0.018 0.018

Summary:
Energy above the lowest structure with this stoichiometry, eV/atom: 0.248
Space group: R3m (160)
Raw formation energy, eV/atom: -0.052
DOS(E_F), states/eV/cell: 1.553

***

No. 2
A geometry-optimized Tm2HIr structure. Source: the Alexandria database, functional PBE-GGA.

Cell: 4.115 4.115 7.354 Å, 73.76 73.76 60.00°
Fractional coordinates of all 4 atoms:
Tm 0.899 0.899 0.304
H 0.000 0.000 0.000
Tm 0.101 0.101 0.696
Ir 0.500 0.500 0.500

Summary:
Space group: R-3m (166)
DOS(E_F), states/eV/cell: 1.131
Electronic total energy, eV per atom: -5.773

***

No. 3
A geometry-optimized Tb2AlAu3 structure. Source: the Alexandria database, functional PBE-GGA.

Cell: 5.796 5.796 8.776 Å, 103.67 103.67 106.53°
Fractional coordinates of all 12 atoms:
Tb 0.757 0.757 0.000
Tb 0.243 0.243 0.000
Al 0.667 0.667 0.334
Al 0.333 0.333 0.666
Au 0.826 0.826 0.652
Au 0.176 0.650 0.826
Au 0.824 0.350 0.174
Tb 0.750 0.250 0.500
Au 0.174 0.174 0.348
Au 0.350 0.824 0.174
Au 0.650 0.176 0.826
Tb 0.250 0.750 0.500

Summary:
Space group: Fmmm (69)
DOS(E_F), states/eV/cell: 6.239
Formation energy from the elements, eV per formula unit: -4.68